Record 1
# PBE CsCaBi4, optimized geometry
data_CsCaBi4
_chemical_formula_sum 'Cs1 Ca1 Bi4'
_symmetry_space_group_name_H-M 'P 1'
_symmetry_Int_Tables_number 1
_cell_length_a 5.784
_cell_length_b 5.784
_cell_length_c 8.673
_cell_angle_alpha 90.00
_cell_angle_beta 90.00
_cell_angle_gamma 120.00
loop_
_symmetry_equiv_pos_as_xyz
'x,y,z'
loop_
_atom_site_label
_atom_site_type_symbol
_atom_site_fract_x
_atom_site_fract_y
_atom_site_fract_z
_atom_site_occupancy
Cs1 Cs 0.000 0.000 0.000 1
Ca1 Ca 0.000 0.000 0.500 1
Bi1 Bi 0.333 0.667 0.323 1
Bi2 Bi 0.333 0.667 0.677 1
Bi3 Bi 0.667 0.333 0.323 1
Bi4 Bi 0.667 0.333 0.677 1
# VASP energy: -3.391 eV per atom
# E above lowest polymorph: 0 meV/atom
# Total magnetic moment: 0.0000 μB/atom
# Calculated formation energy: -190 kJ/mol of formula units



Record 2
# PBE Na4AgHg, optimized geometry
data_Na4AgHg
_chemical_formula_sum 'Na8 Ag2 Hg2'
_symmetry_space_group_name_H-M 'P 1'
_symmetry_Int_Tables_number 1
_cell_length_a 8.392
_cell_length_b 8.392
_cell_length_c 5.642
_cell_angle_alpha 100.44
_cell_angle_beta 100.44
_cell_angle_gamma 113.98
loop_
_symmetry_equiv_pos_as_xyz
'x,y,z'
loop_
_atom_site_label
_atom_site_type_symbol
_atom_site_fract_x
_atom_site_fract_y
_atom_site_fract_z
_atom_site_occupancy
Na1 Na 0.062 0.699 0.927 1
Na2 Na 0.226 0.378 0.654 1
Na3 Na 0.301 0.938 0.573 1
Na4 Na 0.378 0.226 0.154 1
Na5 Na 0.622 0.774 0.846 1
Na6 Na 0.699 0.062 0.427 1
Na7 Na 0.774 0.622 0.346 1
Na8 Na 0.938 0.301 0.073 1
Ag1 Ag 0.001 0.999 0.250 1
Ag2 Ag 0.999 0.001 0.750 1
Hg1 Hg 0.373 0.627 0.250 1
Hg2 Hg 0.627 0.373 0.750 1
# VASP energy: -1.514 eV per atom
# E above lowest polymorph: 9 meV/atom
# Total magnetic moment: 0.0000 μB/atom
# Calculated formation energy: -63 kJ/mol of formula units